1.
This record from Alexandria describes crystalline SiAg2PbSe4 at its relaxed geometry. The functional is PBE.

a = 7.365 Å, b = 6.947 Å, c = 6.300 Å
α = 67.36°, β = 60.51°, γ = 52.14°
Atoms (fractional coordinates):
Si1 0.000 0.000 0.000
Ag1 0.237 0.237 0.263
Ag2 0.737 0.737 0.763
Pb1 0.454 0.454 0.546
Se1 0.083 0.688 0.312
Se2 0.352 0.900 0.648
Se3 0.688 0.083 0.917
Se4 0.900 0.352 0.100

crystal system = orthorhombic
space-group type = No. 42
energy relative to the elements, uncorrected = -2.59 eV per formula unit

2.
This record from Alexandria describes crystalline UTe2 at its relaxed geometry. The functional is PBE.

a = 4.499 Å, b = 7.239 Å, c = 8.520 Å
α = 90.00°, β = 121.82°, γ = 90.00°
Atoms (fractional coordinates):
U1 0.000 0.000 0.000
U2 0.000 0.500 0.500
Te1 0.300 0.201 0.799
Te2 0.300 0.299 0.299
Te3 0.700 0.701 0.701
Te4 0.700 0.799 0.201

crystal system = monoclinic
space-group type = No. 14
energy relative to the elements, uncorrected = -1.41 eV per formula unit

3.
This record from Alexandria describes crystalline TbSc2Ru3 at its relaxed geometry. The functional is PBE.

a = 7.308 Å, b = 7.308 Å, c = 3.297 Å
α = 90.00°, β = 90.00°, γ = 143.01°
Atoms (fractional coordinates):
Tb1 0.000 0.000 0.000
Sc1 0.330 0.670 0.000
Sc2 0.670 0.330 0.000
Ru1 0.172 0.828 0.500
Ru2 0.500 0.500 0.500
Ru3 0.828 0.172 0.500

crystal system = orthorhombic
offset from the most stable computed form = 0.04 eV per formula unit
space-group type = No. 65
formation enthalpy at 0 K = -0.432 eV per atom

4.
This record from Alexandria describes crystalline HfZrCoTc at its relaxed geometry. The functional is PBE.

a = 3.268 Å, b = 4.535 Å, c = 4.538 Å
α = 90.00°, β = 90.00°, γ = 90.00°
Atoms (fractional coordinates):
Hf1 0.000 0.000 0.000
Zr1 0.000 0.500 0.500
Co1 0.500 0.500 0.000
Tc1 0.500 0.000 0.500

crystal system = orthorhombic
offset from the most stable computed form = 0.05 eV per formula unit
space-group type = No. 47
formation enthalpy at 0 K = -0.411 eV per atom

no.,raw total energy (eV per atom),magnetization (μB/atom)
1,-3.920,0.0000
2,-6.328,0.6670
3,-7.952,0.0000
4,-9.405,0.0000